# 1
## Cu2TeOs (PBE)

Data for an optimized crystal structure of Cu2TeOs.

Cell and atoms, written as POSCAR:
```
Cu2TeOs
1.0
3.792 0.000 0.000
0.000 3.792 0.000
0.000 0.000 8.553
Cu Te Os
4 2 2
direct
0.000 0.500 0.250 Cu
0.000 0.500 0.750 Cu
0.500 0.000 0.250 Cu
0.500 0.000 0.750 Cu
0.000 0.000 0.000 Te
0.500 0.500 0.500 Te
0.000 0.000 0.500 Os
0.500 0.500 0.000 Os
```

Summary:
V ... 15.38 Å³/atom
Calculated total energy ... -5.049 eV/atom

---

# 2
## CuTeOs4 (PBE)

Data for an optimized crystal structure of CuTeOs4.

Cell and atoms, written as POSCAR:
```
CuTeOs4
1.0
0.000 3.704 3.704
3.704 0.000 3.704
3.704 3.704 0.000
Cu Te Os
1 1 4
direct
0.000 0.000 0.000 Cu
0.250 0.250 0.250 Te
0.124 0.625 0.625 Os
0.625 0.124 0.625 Os
0.625 0.625 0.124 Os
0.625 0.625 0.625 Os
```

Summary:
V ... 16.93 Å³/atom
Calculated total energy ... -7.676 eV/atom

---

# 3
## Cu2TeOs (PBE)

Data for an optimized crystal structure of Cu2TeOs.

Cell and atoms, written as POSCAR:
```
Cu2TeOs
1.0
7.227 0.000 0.000
0.000 7.227 0.000
0.000 0.000 5.200
Cu Te Os
8 4 4
direct
0.241 0.750 0.125 Cu
0.250 0.241 0.875 Cu
0.250 0.259 0.375 Cu
0.259 0.750 0.625 Cu
0.741 0.250 0.625 Cu
0.750 0.741 0.375 Cu
0.750 0.759 0.875 Cu
0.759 0.250 0.125 Cu
0.000 0.000 0.500 Te
0.000 0.500 0.750 Te
0.500 0.000 0.250 Te
0.500 0.500 0.000 Te
0.000 0.000 0.000 Os
0.000 0.500 0.250 Os
0.500 0.000 0.750 Os
0.500 0.500 0.500 Os
```

Summary:
V ... 16.98 Å³/atom
Calculated total energy ... -4.826 eV/atom

---

# 4
## CuTeOs2 (PBE)

Data for an optimized crystal structure of CuTeOs2.

Cell and atoms, written as POSCAR:
```
CuTeOs2
1.0
2.875 0.000 0.000
0.000 4.862 0.000
0.000 0.000 9.409
Cu Te Os
2 2 4
direct
0.000 0.000 0.000 Cu
0.500 0.500 0.000 Cu
0.000 0.000 0.500 Te
0.500 0.500 0.500 Te
0.000 0.500 0.227 Os
0.000 0.500 0.773 Os
0.500 0.000 0.227 Os
0.500 0.000 0.773 Os
```

Summary:
V ... 16.44 Å³/atom
Calculated total energy ... -6.345 eV/atom

---

# 5
## Cu2TeOs (PBE)

Data for an optimized crystal structure of Cu2TeOs.

Cell and atoms, written as POSCAR:
```
Cu2TeOs
1.0
5.231 0.000 0.000
0.000 8.641 0.000
-1.022 0.000 2.832
Cu Te Os
4 2 2
direct
0.250 0.250 0.000 Cu
0.250 0.750 0.000 Cu
0.750 0.250 0.000 Cu
0.750 0.750 0.000 Cu
0.000 0.000 0.500 Te
0.500 0.500 0.500 Te
0.000 0.500 0.500 Os
0.500 0.000 0.500 Os
```

Summary:
V ... 16.00 Å³/atom
Calculated total energy ... -4.895 eV/atom

---

# 6
## CuTe2Os (PBE)

Data for an optimized crystal structure of CuTe2Os.

Cell and atoms, written as POSCAR:
```
CuTe2Os
1.0
3.191 0.000 0.000
0.000 3.597 0.000
0.000 0.000 7.514
Cu Te Os
1 2 1
direct
0.000 0.000 0.000 Cu
0.000 0.000 0.365 Te
0.500 0.500 0.819 Te
0.500 0.500 0.184 Os
```

Summary:
Distance to the lowest polymorph of the same formula ... 0.028 eV per atom
V ... 21.56 Å³/atom
Calculated total energy ... -5.064 eV/atom

---

Total magnetic moment, respectively: 0.00; 0.89; 1.47; 0.00; 0.38; 0.00 μB per formula unit.
Raw formation energy, respectively: 2.37; 6.10; 3.26; 4.32; 2.98; 1.35 eV per formula unit.